DFT (PBE) results for an optimized crystal structure of ThZrCd.

a = 3.357 Å, b = 3.356 Å, c = 14.012 Å
α = 89.99°, β = 90.01°, γ = 90.00°
Fractional coordinates of all 6 atoms:
Th (0.873, 0.291, 0.506)
Th (0.372, 0.791, 0.006)
Zr (0.872, 0.291, 0.831)
Zr (0.373, 0.791, 0.681)
Cd (0.872, 0.291, 0.186)
Cd (0.372, 0.792, 0.327)

* total magnetization: 0.000 μB per atom
* energy above the most stable polymorph in this dataset: 0.030 eV per atom

DFT (PBE) results for an optimized crystal structure of Pr4Te2PtS.

a = 4.262 Å, b = 7.581 Å, c = 7.766 Å
α = 109.04°, β = 90.00°, γ = 90.00°
Fractional coordinates of all 8 atoms:
Pr (0.500, 0.234, 0.221)
Pr (0.500, 0.766, 0.779)
Pr (0.000, 0.269, 0.785)
Pr (0.000, 0.731, 0.215)
Te (0.500, 0.000, 0.500)
Te (0.000, 0.500, 0.500)
Pt (0.500, 0.500, 0.000)
S (0.000, 0.000, 0.000)

* total magnetization: 0.000 μB per atom
* formation energy from raw total energies: -1.49 eV per atom

DFT (PBE) results for an optimized crystal structure of Th2Zn4CdGa3.

a = 4.260 Å, b = 4.260 Å, c = 10.888 Å
α = 90.00°, β = 90.00°, γ = 90.00°
Fractional coordinates of all 10 atoms:
Th (0.500, 0.000, 0.242)
Th (0.000, 0.500, 0.758)
Zn (0.500, 0.500, 0.000)
Zn (0.000, 0.000, 0.000)
Zn (0.500, 0.000, 0.644)
Zn (0.000, 0.500, 0.356)
Cd (0.500, 0.500, 0.500)
Ga (0.000, 0.000, 0.500)
Ga (0.500, 0.000, 0.867)
Ga (0.000, 0.500, 0.133)

* total magnetization: 0.000 μB per atom
* final energy: -33.6 eV for the cell shown

DFT (PBE) results for an optimized crystal structure of TiHg2H.

a = 9.063 Å, b = 9.063 Å, c = 6.644 Å
α = 46.99°, β = 46.99°, γ = 90.00°
Fractional coordinates of all 8 atoms:
H (0.500, 0.500, 0.000)
H (0.250, 0.750, 0.500)
Hg (0.493, 0.125, 0.250)
Hg (0.257, 0.625, 0.250)
Hg (0.375, 0.507, 0.750)
Hg (0.875, 0.743, 0.750)
Ti (0.000, 0.000, 0.000)
Ti (0.750, 0.250, 0.500)

* total magnetization: 0.000 μB per atom
* energy above the most stable polymorph in this dataset: 0.000 eV per atom

DFT (PBE) results for an optimized crystal structure of AgSnPt.

a = 4.489 Å, b = 4.489 Å, c = 4.489 Å
α = 60.00°, β = 60.00°, γ = 60.00°
Fractional coordinates of all 3 atoms:
Ag (0.500, 0.500, 0.500)
Sn (0.000, 0.000, 0.000)
Pt (0.250, 0.250, 0.250)

* total magnetization: 0.000 μB per atom
* energy above the most stable polymorph in this dataset: 0.000 eV per atom

DFT (PBE) results for an optimized crystal structure of CdP2Ir.

a = 3.560 Å, b = 6.541 Å, c = 5.330 Å
α = 33.77°, β = 90.00°, γ = 90.00°
Fractional coordinates of all 4 atoms:
Cd (0.500, 0.500, 0.500)
Ir (0.000, 0.000, 0.500)
P (0.000, 0.000, 0.000)
P (0.500, 0.500, 0.000)

* total magnetization: 0.000 μB per atom
* final energy: -19.1 eV for the cell shown